Here is a geometry-optimized Cu2Pd6Au structure from the Alexandria database. Energies are from PBE.

Cell lengths 3.8729, 8.3637, 8.3649 Å; angles 90.00, 90.00, 90.00 degrees
Atoms (fractional coordinates):
Cu  0.0000  0.3346  0.8346
Cu  0.5000  0.8346  0.6654
Cu  0.5000  0.1654  0.3346
Cu  0.0000  0.6654  0.1654
Pd  0.0000  0.9956  0.1674
Pd  0.0000  0.6674  0.4956
Pd  0.0000  0.6721  0.8279
Pd  0.5000  0.1721  0.6721
Pd  0.5000  0.1674  0.0044
Pd  0.5000  0.4956  0.3326
Pd  0.0000  0.0044  0.8326
Pd  0.0000  0.3326  0.5044
Pd  0.0000  0.3279  0.1721
Pd  0.5000  0.8279  0.3279
Pd  0.5000  0.8326  0.9956
Pd  0.5000  0.5044  0.6674
Au  0.5000  0.5000  0.0000
Au  0.0000  0.0000  0.5000

calculated volume	15.05	Å³/atom
energy above the most stable polymorph in this dataset	0	meV per atom
energy relative to the elements	-0.07	eV/atom
magnetic moment	0.000	μB per atom



Here is a geometry-optimized Cu2PdAu structure from the Alexandria database. Energies are from PBE.

Cell lengths 4.3661, 4.3661, 4.3652 Å; angles 59.99, 59.99, 60.00 degrees
Atoms (fractional coordinates):
Cu  0.0001  0.0001  0.9997
Cu  0.2499  0.2499  0.2504
Pd  0.7501  0.7501  0.7498
Au  0.5000  0.5000  0.5001

calculated volume	14.71	Å³/atom
energy above the most stable polymorph in this dataset	101	meV per atom
energy relative to the elements	-0.02	eV/atom
magnetic moment	0.000	μB per atom



Here is a geometry-optimized Cu8Pd2Au structure from the Alexandria database. Energies are from PBE.

Cell lengths 3.9127, 6.8913, 6.8913 Å; angles 111.19, 106.38, 106.38 degrees
Atoms (fractional coordinates):
Au  0.6167  0.0280  0.0280
Pd  0.5411  0.6064  0.3011
Pd  0.5411  0.3011  0.6064
Cu  0.8142  0.4193  0.0329
Cu  0.8142  0.0329  0.4193
Cu  0.0321  0.4453  0.4453
Cu  0.0900  0.1665  0.8357
Cu  0.0900  0.8357  0.1665
Cu  0.8275  0.7403  0.7403
Cu  0.3164  0.8827  0.5758
Cu  0.3164  0.5758  0.8827

calculated volume	13.65	Å³/atom
energy above the most stable polymorph in this dataset	0	meV per atom
energy relative to the elements	-0.01	eV/atom
magnetic moment	0.000	μB per atom



Here is a geometry-optimized Cu2PdAu2 structure from the Alexandria database. Energies are from PBE.

Cell lengths 3.4306, 3.4306, 7.3830 Å; angles 76.57, 76.57, 90.00 degrees
Atoms (fractional coordinates):
Au  0.3953  0.3953  0.2095
Au  0.6047  0.6047  0.7905
Cu  0.7500  0.2500  0.5000
Cu  0.2500  0.7500  0.5000
Pd  0.0000  0.0000  0.0000

calculated volume	16.41	Å³/atom
energy above the most stable polymorph in this dataset	181	meV per atom
energy relative to the elements	0.14	eV/atom
magnetic moment	0.000	μB per atom



Here is a geometry-optimized Cu2Pd8Au structure from the Alexandria database. Energies are from PBE.

Cell lengths 4.5063, 9.0561, 9.0561 Å; angles 34.10, 60.50, 60.50 degrees
Atoms (fractional coordinates):
Cu  0.3584  0.8250  0.8250
Cu  0.6416  0.1750  0.1750
Pd  0.3243  0.3348  0.8425
Pd  0.6757  0.1575  0.6652
Pd  0.0147  0.7468  0.7468
Pd  0.9853  0.2532  0.2532
Pd  0.3243  0.8425  0.3348
Pd  0.6757  0.6652  0.1575
Pd  0.7274  0.6383  0.6383
Pd  0.2726  0.3617  0.3617
Au  0.0000  0.0000  0.0000

calculated volume	16.14	Å³/atom
energy above the most stable polymorph in this dataset	93	meV per atom
energy relative to the elements	0.13	eV/atom
magnetic moment	0.000	μB per atom



Here is a geometry-optimized Cu4PdAu7 structure from the Alexandria database. Energies are from PBE.

Cell lengths 4.9622, 8.1709, 6.0531 Å; angles 79.28, 65.80, 72.32 degrees
Atoms (fractional coordinates):
Cu  0.5651  0.2280  0.6417
Cu  0.4349  0.7720  0.3583
Cu  0.7152  0.6762  0.8935
Cu  0.2848  0.3238  0.1065
Pd  0.0000  0.0000  0.0000
Au  0.7893  0.9060  0.5155
Au  0.2107  0.0940  0.4845
Au  0.0728  0.6532  0.2011
Au  0.9272  0.3468  0.7989
Au  0.3543  0.5579  0.7335
Au  0.5000  0.0000  0.0000
Au  0.6457  0.4421  0.2665

calculated volume	17.73	Å³/atom
energy relative to the elements	0.17	eV/atom
magnetic moment	0.000	μB per atom



Here is a geometry-optimized CuPd2Au6 structure from the Alexandria database. Energies are from PBE.

Cell lengths 7.1260, 7.4181, 7.1260 Å; angles 65.58, 87.27, 65.58 degrees
Atoms (fractional coordinates):
Cu  0.8617  0.7500  0.1383
Cu  0.1383  0.2500  0.8617
Pd  0.4573  0.9172  0.2030
Pd  0.7970  0.5828  0.5427
Pd  0.5427  0.0828  0.7970
Pd  0.2030  0.4172  0.4573
Au  0.4320  0.5250  0.6785
Au  0.3215  0.9750  0.5680
Au  0.5680  0.4750  0.3215
Au  0.6785  0.0250  0.4320
Au  0.9078  0.1458  0.6434
Au  0.3566  0.3542  0.0922
Au  0.0922  0.8542  0.3566
Au  0.6434  0.6458  0.9078
Au  0.2174  0.8184  0.9921
Au  0.0079  0.6816  0.7826
Au  0.7826  0.1816  0.0079
Au  0.9921  0.3184  0.2174

calculated volume	17.16	Å³/atom
energy above the most stable polymorph in this dataset	15	meV per atom
energy relative to the elements	-0.01	eV/atom
magnetic moment	0.000	μB per atom



Here is a geometry-optimized Cu2Pd4Au3 structure from the Alexandria database. Energies are from PBE.

Cell lengths 2.8434, 6.1617, 8.4853 Å; angles 103.05, 90.00, 103.34 degrees
Atoms (fractional coordinates):
Cu  0.6671  0.3343  0.2169
Cu  0.3329  0.6657  0.7831
Pd  0.3298  0.6596  0.1103
Pd  0.9933  0.9867  0.6713
Pd  0.0067  0.0133  0.3287
Pd  0.6702  0.3404  0.8897
Au  0.6678  0.3356  0.5634
Au  0.0000  0.0000  0.0000
Au  0.3322  0.6644  0.4366

calculated volume	15.63	Å³/atom
energy relative to the elements	-0.08	eV/atom
magnetic moment	0.000	μB per atom



Here is a geometry-optimized Cu6Pd2Au3 structure from the Alexandria database. Energies are from PBE.

Cell lengths 4.8172, 2.8613, 12.3693 Å; angles 76.51, 98.86, 107.41 degrees
Atoms (fractional coordinates):
Cu  0.1172  0.7404  0.8194
Cu  0.5347  0.3534  0.9137
Cu  0.8828  0.2596  0.1806
Cu  0.4653  0.6466  0.0863
Cu  0.7086  0.8028  0.5512
Cu  0.2914  0.1972  0.4488
Pd  0.3433  0.9118  0.2598
Pd  0.6567  0.0882  0.7402
Au  0.0000  0.0000  0.0000
Au  0.8221  0.5403  0.3699
Au  0.1779  0.4597  0.6301

calculated volume	14.32	Å³/atom
energy relative to the elements	-0.07	eV/atom
magnetic moment	0.000	μB per atom



Here is a geometry-optimized Cu8Pd2Au structure from the Alexandria database. Energies are from PBE.

Cell lengths 4.4978, 6.7680, 7.3353 Å; angles 62.53, 72.56, 49.50 degrees
Atoms (fractional coordinates):
Cu  0.7578  0.1028  0.2687
Cu  0.7578  0.3715  0.7313
Cu  0.2448  0.5031  0.0000
Cu  0.5000  0.8000  0.4000
Cu  0.5000  0.2000  0.6000
Cu  0.7552  0.4969  0.0000
Cu  0.2422  0.6285  0.2687
Cu  0.2422  0.8972  0.7313
Pd  0.0000  0.3167  0.3666
Pd  0.0000  0.6833  0.6334
Au  0.5000  0.0000  0.0000

calculated volume	13.69	Å³/atom
energy above the most stable polymorph in this dataset	46	meV per atom
energy relative to the elements	0.04	eV/atom
magnetic moment	0.000	μB per atom



Please write out number 10 again, unchanged.
Here is a geometry-optimized Cu8Pd2Au structure from the Alexandria database. Energies are from PBE.

Cell lengths 4.4978, 6.7680, 7.3353 Å; angles 62.53, 72.56, 49.50 degrees
Atoms (fractional coordinates):
Cu  0.7578  0.1028  0.2687
Cu  0.7578  0.3715  0.7313
Cu  0.2448  0.5031  0.0000
Cu  0.5000  0.8000  0.4000
Cu  0.5000  0.2000  0.6000
Cu  0.7552  0.4969  0.0000
Cu  0.2422  0.6285  0.2687
Cu  0.2422  0.8972  0.7313
Pd  0.0000  0.3167  0.3666
Pd  0.0000  0.6833  0.6334
Au  0.5000  0.0000  0.0000

calculated volume	13.69	Å³/atom
energy above the most stable polymorph in this dataset	46	meV per atom
energy relative to the elements	0.04	eV/atom
magnetic moment	0.000	μB per atom



calculated volume of number 6 (Cu4PdAu7)? 17.73 Å³/atom